Record 1
VASP calculation (PBEsol) on a relaxed structure of TlCdHg2.

Computed properties:
The calculation puts the relative energy among the computed polymorphs at 0.0264 eV per atom. The size of the total moment comes out at 0.00 Bohr magnetons per cell. As for the formation energy: 0.014 eV/atom. Its total energy is -1.226 eV/atom. Its space-group type is Pm.

Geometry as CIF:
```
data_TlCdHg2
_chemical_formula_sum 'Tl1 Cd1 Hg2'
_symmetry_space_group_name_H-M 'P 1'
_symmetry_Int_Tables_number 1
_cell_length_a 3.2732
_cell_length_b 5.0772
_cell_length_c 5.9406
_cell_angle_alpha 90.00
_cell_angle_beta 101.35
_cell_angle_gamma 90.00
loop_
_symmetry_equiv_pos_as_xyz
'x,y,z'
loop_
_atom_site_label
_atom_site_type_symbol
_atom_site_fract_x
_atom_site_fract_y
_atom_site_fract_z
_atom_site_occupancy
Cd1 Cd 0.2484 0.5000 0.8087 1
Tl1 Tl 0.4811 0.0000 0.4543 1
Hg1 Hg 0.9338 0.5000 0.2765 1
Hg2 Hg 0.8366 0.0000 0.9605 1
```

Record 2
VASP calculation (PBEsol) on a relaxed structure of Tl2CdHg.

Computed properties:
The calculation puts the relative energy among the computed polymorphs at 0.0378 eV per atom. The size of the total moment comes out at 0.00 Bohr magnetons per cell. As for the formation energy: 0.047 eV/atom. Its total energy is -1.709 eV/atom. Its space-group type is C2/m.

Geometry as CIF:
```
data_Tl2CdHg
_chemical_formula_sum 'Tl2 Cd1 Hg1'
_symmetry_space_group_name_H-M 'P 1'
_symmetry_Int_Tables_number 1
_cell_length_a 3.2505
_cell_length_b 6.1002
_cell_length_c 6.1002
_cell_angle_alpha 117.17
_cell_angle_beta 99.51
_cell_angle_gamma 99.51
loop_
_symmetry_equiv_pos_as_xyz
'x,y,z'
loop_
_atom_site_label
_atom_site_type_symbol
_atom_site_fract_x
_atom_site_fract_y
_atom_site_fract_z
_atom_site_occupancy
Cd1 Cd 0.5000 0.5000 0.5000 1
Tl1 Tl 0.0000 0.5000 0.0000 1
Hg1 Hg 0.5000 0.0000 0.0000 1
Tl2 Tl 0.0000 0.0000 0.5000 1
```

Record 3
VASP calculation (PBEsol) on a relaxed structure of TlCd2Hg.

Computed properties:
The calculation puts the relative energy among the computed polymorphs at 0.0000 eV per atom. The size of the total moment comes out at 0.00 Bohr magnetons per cell. As for the formation energy: 0.018 eV/atom. Its total energy is -1.380 eV/atom. Its space-group type is P4mm.

Geometry as CIF:
```
data_TlCd2Hg
_chemical_formula_sum 'Tl1 Cd2 Hg1'
_symmetry_space_group_name_H-M 'P 1'
_symmetry_Int_Tables_number 1
_cell_length_a 3.2398
_cell_length_b 3.2398
_cell_length_c 8.8363
_cell_angle_alpha 90.00
_cell_angle_beta 90.00
_cell_angle_gamma 90.00
loop_
_symmetry_equiv_pos_as_xyz
'x,y,z'
loop_
_atom_site_label
_atom_site_type_symbol
_atom_site_fract_x
_atom_site_fract_y
_atom_site_fract_z
_atom_site_occupancy
Tl1 Tl 0.5000 0.5000 0.7525 1
Cd1 Cd 0.5000 0.5000 0.2471 1
Hg1 Hg 0.0000 0.0000 0.4808 1
Cd2 Cd 0.0000 0.0000 0.0196 1
```

Record 4
VASP calculation (PBEsol) on a relaxed structure of Tl2CdHg.

Computed properties:
The calculation puts the relative energy among the computed polymorphs at 0.0141 eV per atom. The size of the total moment comes out at 0.00 Bohr magnetons per cell. As for the formation energy: 0.023 eV/atom. Its total energy is -1.733 eV/atom. Its space-group type is Pm.

Geometry as CIF:
```
data_Tl2CdHg
_chemical_formula_sum 'Tl2 Cd1 Hg1'
_symmetry_space_group_name_H-M 'P 1'
_symmetry_Int_Tables_number 1
_cell_length_a 3.4023
_cell_length_b 4.8098
_cell_length_c 6.4409
_cell_angle_alpha 90.00
_cell_angle_beta 105.62
_cell_angle_gamma 90.00
loop_
_symmetry_equiv_pos_as_xyz
'x,y,z'
loop_
_atom_site_label
_atom_site_type_symbol
_atom_site_fract_x
_atom_site_fract_y
_atom_site_fract_z
_atom_site_occupancy
Hg1 Hg 0.4194 0.5000 0.7623 1
Tl1 Tl 0.7150 0.5000 0.2828 1
Cd1 Cd 0.3282 0.0000 0.4870 1
Tl2 Tl 0.0375 0.0000 0.9679 1
```

Record 5
VASP calculation (PBEsol) on a relaxed structure of TlCd2Hg.

Computed properties:
The calculation puts the relative energy among the computed polymorphs at 0.0364 eV per atom. The size of the total moment comes out at 0.00 Bohr magnetons per cell. As for the formation energy: 0.054 eV/atom. Its total energy is -1.344 eV/atom. Its space-group type is Cmm2.

Geometry as CIF:
```
data_TlCd2Hg
_chemical_formula_sum 'Tl1 Cd2 Hg1'
_symmetry_space_group_name_H-M 'P 1'
_symmetry_Int_Tables_number 1
_cell_length_a 3.2105
_cell_length_b 3.2105
_cell_length_c 10.2191
_cell_angle_alpha 90.00
_cell_angle_beta 90.00
_cell_angle_gamma 115.44
loop_
_symmetry_equiv_pos_as_xyz
'x,y,z'
loop_
_atom_site_label
_atom_site_type_symbol
_atom_site_fract_x
_atom_site_fract_y
_atom_site_fract_z
_atom_site_occupancy
Tl1 Tl 0.5000 0.5000 0.2493 1
Hg1 Hg 0.0000 0.0000 0.5132 1
Cd1 Cd 0.0000 0.0000 0.9863 1
Cd2 Cd 0.5000 0.5000 0.7513 1
```

Record 6
VASP calculation (PBEsol) on a relaxed structure of Tl2CdHg.

Computed properties:
The calculation puts the relative energy among the computed polymorphs at 0.0121 eV per atom. The size of the total moment comes out at 0.00 Bohr magnetons per cell. As for the formation energy: 0.021 eV/atom. Its total energy is -1.735 eV/atom. Its space-group type is Cm.

Geometry as CIF:
```
data_Tl2CdHg
_chemical_formula_sum 'Tl2 Cd1 Hg1'
_symmetry_space_group_name_H-M 'P 1'
_symmetry_Int_Tables_number 1
_cell_length_a 3.3439
_cell_length_b 5.5545
_cell_length_c 6.0075
_cell_angle_alpha 108.01
_cell_angle_beta 106.16
_cell_angle_gamma 90.00
loop_
_symmetry_equiv_pos_as_xyz
'x,y,z'
loop_
_atom_site_label
_atom_site_type_symbol
_atom_site_fract_x
_atom_site_fract_y
_atom_site_fract_z
_atom_site_occupancy
Tl1 Tl 0.7645 0.2865 0.5289 1
Cd1 Cd 0.5148 0.4814 0.0296 1
Tl2 Tl 0.9874 0.9646 0.9748 1
Hg1 Hg 0.2333 0.7676 0.4667 1
```

Record 7
VASP calculation (PBEsol) on a relaxed structure of TlCdHg.

Computed properties:
The calculation puts the relative energy among the computed polymorphs at 0.0217 eV per atom. The size of the total moment comes out at 0.00 Bohr magnetons per cell. As for the formation energy: 0.034 eV/atom. Its total energy is -1.431 eV/atom. Its space-group type is P3m1.

Geometry as CIF:
```
data_TlCdHg
_chemical_formula_sum 'Tl1 Cd1 Hg1'
_symmetry_space_group_name_H-M 'P 1'
_symmetry_Int_Tables_number 1
_cell_length_a 3.5814
_cell_length_b 4.9039
_cell_length_c 4.9039
_cell_angle_alpha 120.00
_cell_angle_beta 90.00
_cell_angle_gamma 90.00
loop_
_symmetry_equiv_pos_as_xyz
'x,y,z'
loop_
_atom_site_label
_atom_site_type_symbol
_atom_site_fract_x
_atom_site_fract_y
_atom_site_fract_z
_atom_site_occupancy
Cd1 Cd 0.9137 0.0000 0.0000 1
Tl1 Tl 0.3337 0.6667 0.3333 1
Hg1 Hg 0.7526 0.3333 0.6667 1
```

Record 8
VASP calculation (PBEsol) on a relaxed structure of TlCdHg2.

Computed properties:
The calculation puts the relative energy among the computed polymorphs at 0.0202 eV per atom. The size of the total moment comes out at 0.00 Bohr magnetons per cell. As for the formation energy: 0.008 eV/atom. Its total energy is -1.232 eV/atom. Its space-group type is Cm.

Geometry as CIF:
```
data_TlCdHg2
_chemical_formula_sum 'Tl1 Cd1 Hg2'
_symmetry_space_group_name_H-M 'P 1'
_symmetry_Int_Tables_number 1
_cell_length_a 3.2439
_cell_length_b 5.6070
_cell_length_c 5.6593
_cell_angle_alpha 102.24
_cell_angle_beta 90.00
_cell_angle_gamma 106.81
loop_
_symmetry_equiv_pos_as_xyz
'x,y,z'
loop_
_atom_site_label
_atom_site_type_symbol
_atom_site_fract_x
_atom_site_fract_y
_atom_site_fract_z
_atom_site_occupancy
Tl1 Tl 0.4977 0.9954 0.5076 1
Hg1 Hg 0.0026 0.0053 0.0124 1
Cd1 Cd 0.7439 0.4878 0.2285 1
Hg2 Hg 0.2558 0.5115 0.7515 1
```

Record 9
VASP calculation (PBEsol) on a relaxed structure of TlCd2Hg.

Computed properties:
The calculation puts the relative energy among the computed polymorphs at 0.0364 eV per atom. The size of the total moment comes out at 0.00 Bohr magnetons per cell. As for the formation energy: 0.054 eV/atom. Its total energy is -1.343 eV/atom. Its space-group type is Fm-3m.

Geometry as CIF:
```
data_TlCd2Hg
_chemical_formula_sum 'Tl1 Cd2 Hg1'
_symmetry_space_group_name_H-M 'P 1'
_symmetry_Int_Tables_number 1
_cell_length_a 5.1047
_cell_length_b 5.1047
_cell_length_c 5.1047
_cell_angle_alpha 60.00
_cell_angle_beta 60.00
_cell_angle_gamma 60.00
loop_
_symmetry_equiv_pos_as_xyz
'x,y,z'
loop_
_atom_site_label
_atom_site_type_symbol
_atom_site_fract_x
_atom_site_fract_y
_atom_site_fract_z
_atom_site_occupancy
Cd1 Cd 0.2500 0.2500 0.2500 1
Cd2 Cd 0.7500 0.7500 0.7500 1
Tl1 Tl 0.5000 0.5000 0.5000 1
Hg1 Hg 0.0000 0.0000 0.0000 1
```

Record 10
VASP calculation (PBEsol) on a relaxed structure of Tl2CdHg.

Computed properties:
The calculation puts the relative energy among the computed polymorphs at 0.0187 eV per atom. The size of the total moment comes out at 0.00 Bohr magnetons per cell. As for the formation energy: 0.028 eV/atom. Its total energy is -1.728 eV/atom. Its space-group type is Pmm2.

Geometry as CIF:
```
data_Tl2CdHg
_chemical_formula_sum 'Tl2 Cd1 Hg1'
_symmetry_space_group_name_H-M 'P 1'
_symmetry_Int_Tables_number 1
_cell_length_a 3.3610
_cell_length_b 4.3526
_cell_length_c 6.9282
_cell_angle_alpha 90.00
_cell_angle_beta 90.00
_cell_angle_gamma 90.00
loop_
_symmetry_equiv_pos_as_xyz
'x,y,z'
loop_
_atom_site_label
_atom_site_type_symbol
_atom_site_fract_x
_atom_site_fract_y
_atom_site_fract_z
_atom_site_occupancy
Tl1 Tl 0.0000 0.0000 0.9882 1
Cd1 Cd 0.0000 0.0000 0.5159 1
Hg1 Hg 0.5000 0.5000 0.7338 1
Tl2 Tl 0.5000 0.5000 0.2621 1
```

Record 11
VASP calculation (PBEsol) on a relaxed structure of Tl2CdHg.

Computed properties:
The calculation puts the relative energy among the computed polymorphs at 0.0279 eV per atom. The size of the total moment comes out at 0.00 Bohr magnetons per cell. As for the formation energy: 0.037 eV/atom. Its total energy is -1.719 eV/atom. Its space-group type is P4/mmm.

Geometry as CIF:
```
data_Tl2CdHg
_chemical_formula_sum 'Tl2 Cd1 Hg1'
_symmetry_space_group_name_H-M 'P 1'
_symmetry_Int_Tables_number 1
_cell_length_a 3.7150
_cell_length_b 3.7150
_cell_length_c 7.4292
_cell_angle_alpha 90.00
_cell_angle_beta 90.00
_cell_angle_gamma 90.00
loop_
_symmetry_equiv_pos_as_xyz
'x,y,z'
loop_
_atom_site_label
_atom_site_type_symbol
_atom_site_fract_x
_atom_site_fract_y
_atom_site_fract_z
_atom_site_occupancy
Hg1 Hg 0.5000 0.5000 0.5000 1
Tl1 Tl 0.0000 0.0000 0.7497 1
Cd1 Cd 0.5000 0.5000 0.0000 1
Tl2 Tl 0.0000 0.0000 0.2504 1
```

Record 12
VASP calculation (PBEsol) on a relaxed structure of TlCd2Hg.

Computed properties:
The calculation puts the relative energy among the computed polymorphs at 0.0267 eV per atom. The size of the total moment comes out at 0.00 Bohr magnetons per cell. As for the formation energy: 0.045 eV/atom. Its total energy is -1.353 eV/atom. Its space-group type is Immm.

Geometry as CIF:
```
data_TlCd2Hg
_chemical_formula_sum 'Tl1 Cd2 Hg1'
_symmetry_space_group_name_H-M 'P 1'
_symmetry_Int_Tables_number 1
_cell_length_a 3.4699
_cell_length_b 5.2398
_cell_length_c 6.1093
_cell_angle_alpha 115.39
_cell_angle_beta 106.50
_cell_angle_gamma 90.00
loop_
_symmetry_equiv_pos_as_xyz
'x,y,z'
loop_
_atom_site_label
_atom_site_type_symbol
_atom_site_fract_x
_atom_site_fract_y
_atom_site_fract_z
_atom_site_occupancy
Tl1 Tl 0.0000 0.5000 0.0000 1
Cd1 Cd 0.2389 0.2389 0.4778 1
Cd2 Cd 0.7611 0.7611 0.5222 1
Hg1 Hg 0.5000 0.0000 0.0000 1
```